Record 1
# CeY9Er4 | Alexandria via LeMat-Bulk | PBE | optimized geometry
data_CeY9Er4
_space_group_name_H-M_alt 'P 63/m m c'
_space_group_IT_number 194
_space_group_name_Hall '-P 6c 2c'
_cell_length_a 9.6973
_cell_length_b 9.6973
_cell_length_c 11.2014
_cell_angle_alpha 90.00
_cell_angle_beta 90.00
_cell_angle_gamma 120.00
loop_
_atom_site_label
_atom_site_type_symbol
_atom_site_fract_x
_atom_site_fract_y
_atom_site_fract_z
_atom_site_occupancy
Ce1 Ce 0.3333 0.6667 0.2500 1
Y1 Y 0.0801 0.5400 0.7500 1
Y2 Y 0.2094 0.4187 0.0308 1
Er1 Er 0.0000 0.0000 0.0000 1
Er2 Er 0.1111 0.2221 0.7500 1
# ΔH_f (0 K), eV/atom: 0.1793
# Calculated density, g/cm3: 5.86

=====

Record 2
# CeY4Er7 | Alexandria via LeMat-Bulk | PBE | optimized geometry
data_CeY4Er7
_space_group_name_H-M_alt 'P -1'
_space_group_IT_number 2
_space_group_name_Hall '-P 1'
_cell_length_a 6.7366
_cell_length_b 6.9162
_cell_length_c 8.6981
_cell_angle_alpha 79.39
_cell_angle_beta 76.61
_cell_angle_gamma 76.25
loop_
_atom_site_label
_atom_site_type_symbol
_atom_site_fract_x
_atom_site_fract_y
_atom_site_fract_z
_atom_site_occupancy
Ce1 Ce 0.0000 0.0000 0.0000 1
Y1 Y 0.1861 0.6075 0.3344 1
Y2 Y 0.3440 0.2281 0.6869 1
Er1 Er 0.0000 0.5000 0.0000 1
Er2 Er 0.1787 0.1083 0.3664 1
Er3 Er 0.3221 0.7368 0.6676 1
Er4 Er 0.4852 0.2496 0.0286 1
# ΔH_f (0 K), eV/atom: 0.0970
# Calculated density, g/cm3: 7.30

=====

Record 3
# CeY8Er5 | Alexandria via LeMat-Bulk | PBE | optimized geometry
data_CeY8Er5
_space_group_name_H-M_alt 'I -4'
_space_group_IT_number 82
_space_group_name_Hall 'I -4'
_cell_length_a 9.5480
_cell_length_b 9.5480
_cell_length_c 9.9591
_cell_angle_alpha 90.00
_cell_angle_beta 90.00
_cell_angle_gamma 90.00
loop_
_atom_site_label
_atom_site_type_symbol
_atom_site_fract_x
_atom_site_fract_y
_atom_site_fract_z
_atom_site_occupancy
Ce1 Ce 0.0000 0.0000 0.0000 1
Y1 Y 0.0734 0.3225 0.9034 1
Y2 Y 0.0811 0.1723 0.2409 1
Er1 Er 0.0000 0.5000 0.2500 1
Er2 Er 0.1083 0.2138 0.5708 1
# ΔH_f (0 K), eV/atom: 0.2520
# Calculated density, g/cm3: 6.17

=====

Record 4
# CeY10Er6 | Alexandria via LeMat-Bulk | PBE | optimized geometry
data_CeY10Er6
_space_group_name_H-M_alt 'P -3 1 m'
_space_group_IT_number 162
_space_group_name_Hall '-P 3 2'
_cell_length_a 9.6392
_cell_length_b 9.6392
_cell_length_c 6.8231
_cell_angle_alpha 90.00
_cell_angle_beta 90.00
_cell_angle_gamma 120.00
loop_
_atom_site_label
_atom_site_type_symbol
_atom_site_fract_x
_atom_site_fract_y
_atom_site_fract_z
_atom_site_occupancy
Ce1 Ce 0.0000 0.0000 0.0000 1
Y1 Y 0.0000 0.2745 0.3153 1
Y2 Y 0.3333 0.6667 0.0000 1
Y3 Y 0.3333 0.6667 0.5000 1
Er1 Er 0.0000 0.3770 0.8032 1
# ΔH_f (0 K), eV/atom: 0.1445
# Calculated density, g/cm3: 6.15

=====

Record 5
# CeYEr | Alexandria via LeMat-Bulk | PBE | optimized geometry
data_CeYEr
_space_group_name_H-M_alt 'P m m a'
_space_group_IT_number 51
_space_group_name_Hall '-P 2a 2a'
_cell_length_a 6.4586
_cell_length_b 3.3914
_cell_length_c 8.6512
_cell_angle_alpha 90.00
_cell_angle_beta 90.00
_cell_angle_gamma 90.00
loop_
_atom_site_label
_atom_site_type_symbol
_atom_site_fract_x
_atom_site_fract_y
_atom_site_fract_z
_atom_site_occupancy
Ce1 Ce 0.2500 0.0000 0.1725 1
Y1 Y 0.2500 0.5000 0.8169 1
Er1 Er 0.0000 0.0000 0.5000 1
# ΔH_f (0 K), eV/atom: 0.2522
# Calculated density, g/cm3: 6.95

=====

Record 6
# CeY5Er6 | Alexandria via LeMat-Bulk | PBE | optimized geometry
data_CeY5Er6
_space_group_name_H-M_alt 'I m m m'
_space_group_IT_number 71
_space_group_name_Hall '-I 2 2'
_cell_length_a 5.0104
_cell_length_b 9.9820
_cell_length_c 15.0509
_cell_angle_alpha 90.00
_cell_angle_beta 90.00
_cell_angle_gamma 90.00
loop_
_atom_site_label
_atom_site_type_symbol
_atom_site_fract_x
_atom_site_fract_y
_atom_site_fract_z
_atom_site_occupancy
Ce1 Ce 0.0000 0.0000 0.0000 1
Y1 Y 0.0000 0.0000 0.3334 1
Y2 Y 0.0000 0.5000 0.0000 1
Y3 Y 0.0000 0.5000 0.3334 1
Er1 Er 0.0000 0.2489 0.1653 1
Er2 Er 0.0000 0.2527 0.5000 1
# ΔH_f (0 K), eV/atom: 0.0418
# Calculated density, g/cm3: 7.01

=====

Record 7
# CeY7Er3 | Alexandria via LeMat-Bulk | PBE | optimized geometry
data_CeY7Er3
_space_group_name_H-M_alt 'C 1 2/m 1'
_space_group_IT_number 12
_space_group_name_Hall '-C 2y'
_cell_length_a 6.8801
_cell_length_b 18.5426
_cell_length_c 11.1703
_cell_angle_alpha 90.00
_cell_angle_beta 90.07
_cell_angle_gamma 90.00
loop_
_atom_site_label
_atom_site_type_symbol
_atom_site_fract_x
_atom_site_fract_y
_atom_site_fract_z
_atom_site_occupancy
Ce1 Ce 0.0000 0.0000 0.0000 1
Ce2 Ce 0.0000 0.5000 0.5000 1
Y1 Y 0.2493 0.0000 0.7500 1
Y2 Y 0.2489 0.1610 0.9669 1
Y3 Y 0.2487 0.3390 0.4672 1
Y4 Y 0.2493 0.4113 0.7502 1
Er1 Er 0.0000 0.0000 0.5000 1
Er2 Er 0.0001 0.2498 0.2502 1
Er3 Er 0.0000 0.5000 0.0000 1
# ΔH_f (0 K), eV/atom: 0.1586
# Calculated density, g/cm3: 5.89

=====

Record 8
# CeYEr | Alexandria via LeMat-Bulk | PBE | optimized geometry
data_CeYEr
_space_group_name_H-M_alt 'I 4 m m'
_space_group_IT_number 107
_space_group_name_Hall 'I 4 -2'
_cell_length_a 3.5207
_cell_length_b 3.5207
_cell_length_c 14.9716
_cell_angle_alpha 90.00
_cell_angle_beta 90.00
_cell_angle_gamma 90.00
loop_
_atom_site_label
_atom_site_type_symbol
_atom_site_fract_x
_atom_site_fract_y
_atom_site_fract_z
_atom_site_occupancy
Ce1 Ce 0.0000 0.0000 0.0000 1
Y1 Y 0.0000 0.0000 0.3339 1
Er1 Er 0.0000 0.0000 0.6616 1
# ΔH_f (0 K), eV/atom: 0.0782
# Calculated density, g/cm3: 7.09